No. 1
KSiHgIr2: PBEsol geometry, meta-GGA SCAN.

Properties
As for the space group: P4/mmm (123). As for the formation energy from raw total energies: 46.14 kcal/mol of atoms.

The structure in POSCAR format:
```
KSiHgIr2
1.0
4.966 0.000 0.000
0.000 4.966 0.000
0.000 0.000 5.253
K Ir Si Hg
1 2 1 1
Direct
0.000 0.000 0.500
0.000 0.500 0.000
0.500 0.000 0.000
0.500 0.500 0.500
0.000 0.000 0.000
```

---

No. 2
La2HgIr: PBEsol geometry, meta-GGA SCAN.

Properties
As for the formation energy: -0.8116 eV per atom. As for the space group: R-3m (166).

The structure in POSCAR format:
```
La2HgIr
1.0
-0.914 -1.881 3.559
2.582 -2.812 1.571
4.266 4.023 5.615
Ir Hg La
1 1 2
Direct
0.000 0.000 0.000
0.500 0.500 0.500
0.266 0.266 0.202
0.734 0.734 0.798
```

---

No. 3
La2HgIr: PBEsol geometry, meta-GGA SCAN.

Properties
As for the formation energy: -0.7379 eV per atom. As for the space group: P4/mmm (123).

The structure in POSCAR format:
```
La2HgIr
1.0
-1.161 3.420 -0.241
-2.284 -0.961 -2.638
-5.413 -1.470 5.222
Ir Hg La
1 1 2
Direct
0.500 0.500 0.500
0.500 0.500 0.000
0.000 0.000 0.718
0.000 0.000 0.282
```

---

No. 4
Li2HgIr: PBEsol geometry, meta-GGA SCAN.

Properties
As for the formation energy: -0.1474 eV per atom. As for the space group: R-3m (166).

The structure in POSCAR format:
```
Li2HgIr
1.0
2.799 0.000 0.000
1.399 2.424 0.000
1.399 0.808 9.073
Hg Ir Li
1 1 2
Direct
0.500 0.500 0.500
0.000 0.000 0.000
0.259 0.259 0.224
0.741 0.741 0.776
```

---

No. 5
LiHgIr4: PBEsol geometry, meta-GGA SCAN.

Properties
As for the formation energy: 0.3152 eV per atom. As for the space group: F-43m (216).

The structure in POSCAR format:
```
LiHgIr4
1.0
5.169 0.000 0.000
2.584 4.476 0.000
2.584 1.492 4.220
Hg Ir Li
1 4 1
Direct
0.000 0.000 0.000
0.375 0.375 0.375
0.375 0.375 0.874
0.874 0.375 0.375
0.375 0.874 0.375
0.750 0.750 0.750
```

---

No. 6
LiHg2Ir: PBEsol geometry, meta-GGA SCAN.

Properties
As for the formation energy: 0.2828 eV per atom. As for the space group: F-43m (216).

The structure in POSCAR format:
```
LiHg2Ir
1.0
-2.335 3.832 0.835
-1.690 0.781 4.168
1.822 3.256 2.629
Hg Ir Li
2 1 1
Direct
0.000 0.000 0.000
0.250 0.250 0.250
0.500 0.500 0.500
0.750 0.750 0.750
```

---

No. 7
Li2HgIr: PBEsol geometry, meta-GGA SCAN.

Properties
As for the formation energy: 0.0670 eV per atom. As for the space group: R3m (160).

The structure in POSCAR format:
```
Li2HgIr
1.0
2.833 -0.002 0.000
1.415 2.454 0.000
1.417 0.818 9.375
Hg Ir Li
1 1 2
Direct
0.500 0.500 0.499
0.254 0.254 0.239
0.992 0.992 0.025
0.754 0.754 0.737
```

---

No. 8
Li2HgIr: PBEsol geometry, meta-GGA SCAN.

Properties
As for the formation energy: -0.1526 eV per atom. As for the space group: Pmmm (47).

The structure in POSCAR format:
```
Li2HgIr
1.0
-0.236 -0.163 2.682
2.594 -3.048 0.043
4.178 3.564 0.584
Hg Ir Li
1 1 2
Direct
0.500 0.500 0.000
0.500 0.500 0.500
0.000 0.000 0.719
0.000 0.000 0.281
```

---

No. 9
MgHg2Ir: PBEsol geometry, meta-GGA SCAN.

Properties
Its energy relative to the lowest polymorph listed for this composition is 0.0 kJ per mole of atoms. As for the formation energy: 0.0360 eV per atom. As for the space group: P4/mmm (123).

The structure in POSCAR format:
```
MgHg2Ir
1.0
4.029 0.000 0.000
0.000 4.162 0.000
0.000 0.000 4.162
Hg Ir Mg
2 1 1
Direct
0.000 0.000 0.500
0.000 0.500 0.000
0.500 0.500 0.500
0.500 0.000 0.000
```

---

No. 10
MgHgIr2: PBEsol geometry, meta-GGA SCAN.

Properties
As for the formation energy: 0.2476 eV per atom. As for the space group: F-43m (216).

The structure in POSCAR format:
```
MgHgIr2
1.0
4.496 0.000 0.000
2.248 3.894 0.000
2.248 1.298 3.671
Hg Ir Mg
1 2 1
Direct
0.500 0.500 0.500
0.000 0.000 0.000
0.750 0.750 0.750
0.250 0.250 0.250
```

---

No. 11
MgHg2Ir: PBEsol geometry, meta-GGA SCAN.

Properties
Its energy relative to the lowest polymorph listed for this composition is 7.3 kJ per mole of atoms. As for the formation energy: 0.1120 eV per atom. As for the space group: Pmmm (47).

The structure in POSCAR format:
```
MgHg2Ir
1.0
-2.566 -1.681 -0.363
1.933 -2.415 -2.476
1.554 -3.339 4.471
Hg Ir Mg
2 1 1
Direct
0.000 0.000 0.755
0.000 0.000 0.245
0.500 0.500 0.000
0.500 0.500 0.500
```

---

No. 12
MgHg2Ir: PBEsol geometry, meta-GGA SCAN.

Properties
Its energy relative to the lowest polymorph listed for this composition is 15.1 kJ per mole of atoms. As for the formation energy: 0.1920 eV per atom. As for the space group: F-43m (216).

The structure in POSCAR format:
```
MgHg2Ir
1.0
4.655 0.000 0.000
2.327 4.031 0.000
2.327 1.344 3.801
Hg Ir Mg
2 1 1
Direct
0.000 0.000 0.000
0.750 0.750 0.750
0.500 0.500 0.500
0.250 0.250 0.250
```

---

No. 13
MgHg2Ir: PBEsol geometry, meta-GGA SCAN.

Properties
Its energy relative to the lowest polymorph listed for this composition is 8.2 kJ per mole of atoms. As for the formation energy: 0.1208 eV per atom. As for the space group: C2/m (12).

The structure in POSCAR format:
```
MgHg2Ir
1.0
-0.128 0.382 3.065
3.227 -3.726 0.515
2.072 4.776 -2.026
Hg Ir Mg
2 1 1
Direct
0.000 0.500 0.500
0.500 0.000 0.500
0.000 0.000 0.000
0.500 0.500 0.000
```

---

No. 14
MgHg2Ir: PBEsol geometry, meta-GGA SCAN.

Properties
Its energy relative to the lowest polymorph listed for this composition is 0.2 kJ per mole of atoms. As for the formation energy: 0.0385 eV per atom. As for the space group: I-4m2 (119).

The structure in POSCAR format:
```
MgHg2Ir
1.0
-3.577 -1.839 -0.244
0.952 -1.364 -3.670
3.025 -1.963 3.726
Hg Ir Mg
2 1 1
Direct
0.000 0.000 0.000
0.250 0.750 0.500
0.500 0.500 0.000
0.750 0.250 0.500
```

---

No. 15
MnHgIr2: PBEsol geometry, meta-GGA SCAN.

Properties
As for the formation energy: 0.0442 eV per atom. As for the space group: R-3m (166).

The structure in POSCAR format:
```
MnHgIr2
1.0
2.767 0.000 0.000
1.383 2.396 0.000
1.383 0.799 8.943
Hg Ir Mn
1 2 1
Direct
0.000 0.000 0.000
0.240 0.240 0.281
0.760 0.760 0.719
0.500 0.500 0.500
```

---

No. 16
MnHg3Ir: PBEsol geometry, meta-GGA SCAN.

Properties
Its energy relative to the lowest polymorph listed for this composition is 0.0 kJ per mole of atoms. As for the formation energy: 0.6047 eV per atom. As for the space group: Pm-3m (221).

The structure in POSCAR format:
```
MnHg3Ir
1.0
5.133 0.000 0.000
0.000 5.133 0.000
0.000 0.000 5.133
Ir Hg Mn
1 3 1
Direct
0.000 0.000 0.000
0.000 0.500 0.000
0.000 0.000 0.500
0.500 0.000 0.000
0.500 0.500 0.500
```

---

No. 17
MnHgIr2: PBEsol geometry, meta-GGA SCAN.

Properties
As for the formation energy: 0.0890 eV per atom. As for the space group: Pmm2 (25).

The structure in POSCAR format:
```
MnHgIr2
1.0
2.792 0.000 0.000
0.000 3.827 0.000
0.000 0.000 5.674
Hg Ir Mn
1 2 1
Direct
0.000 0.500 0.747
0.500 0.000 0.026
0.000 0.500 0.256
0.500 0.000 0.471
```

---

No. 18
Mn2HgIr: PBEsol geometry, meta-GGA SCAN.

Properties
As for the formation energy: -0.1047 eV per atom. As for the space group: I-4m2 (119).

The structure in POSCAR format:
```
Mn2HgIr
1.0
-1.771 3.263 1.144
-3.440 -1.535 -0.947
2.253 -2.347 3.587
Hg Ir Mn
1 1 2
Direct
0.500 0.500 0.000
0.250 0.750 0.500
0.000 0.000 0.000
0.750 0.250 0.500
```

---

No. 19
MnHgIr2: PBEsol geometry, meta-GGA SCAN.

Properties
As for the formation energy: 0.1408 eV per atom. As for the space group: P4/mmm (123).

The structure in POSCAR format:
```
MnHgIr2
1.0
-2.791 0.717 -2.460
2.071 -1.811 -2.879
-1.721 -3.465 0.942
Hg Ir Mn
1 2 1
Direct
0.500 0.000 0.000
0.000 0.000 0.500
0.000 0.500 0.000
0.500 0.500 0.500
```

---

No. 20
MnHgIr2: PBEsol geometry, meta-GGA SCAN.

Properties
As for the formation energy: 0.0276 eV per atom. As for the space group: P4/mmm (123).

The structure in POSCAR format:
```
MnHgIr2
1.0
2.815 0.000 0.000
0.000 2.815 0.000
0.000 0.000 7.497
Hg Ir Mn
1 2 1
Direct
0.500 0.500 0.500
0.000 0.000 0.789
0.000 0.000 0.211
0.500 0.500 0.000
```